# 1
An optimized crystal structure of CaNdCdPb. Source: Alexandria via LeMat-Bulk, functional GGA-PBE. Values from VASP.

Properties
**E_form**: -169 kJ/mol of formula units
**Total magnetic moment**: 0.00 μB per atom
**Crystal system**: cubic

The structure in Quantum ESPRESSO input format:
```
&SYSTEM
  ibrav = 0, nat = 4, ntyp = 4
/
ATOMIC_SPECIES
Ca 40.08 Ca.upf
Nd 144.24 Nd.upf
Cd 112.41 Cd.upf
Pb 207.20 Pb.upf
ATOMIC_POSITIONS crystal
Ca 0.0000 0.0000 0.0000
Nd 0.5000 0.5000 0.5000
Cd 0.2500 0.2500 0.2500
Pb 0.7500 0.7500 0.7500
CELL_PARAMETERS angstrom
0.0000 3.8906 3.8906
3.8906 0.0000 3.8906
3.8906 3.8906 0.0000
```

# 2
An optimized crystal structure of MgCuBi. Source: Alexandria via LeMat-Bulk, functional GGA-PBE. Values from VASP.

Properties
**E_form**: 71 kJ/mol of formula units
**Total magnetic moment**: 0.00 μB per atom
**Crystal system**: hexagonal

The structure in Quantum ESPRESSO input format:
```
&SYSTEM
  ibrav = 0, nat = 6, ntyp = 3
/
ATOMIC_SPECIES
Mg 24.30 Mg.upf
Cu 63.55 Cu.upf
Bi 208.98 Bi.upf
ATOMIC_POSITIONS crystal
Mg 0.3333 0.6667 0.2500
Mg 0.6667 0.3333 0.7500
Cu 0.0000 0.0000 0.0000
Cu 0.0000 0.0000 0.5000
Bi 0.3333 0.6667 0.7500
Bi 0.6667 0.3333 0.2500
CELL_PARAMETERS angstrom
5.0693 0.0000 0.0000
-2.5347 4.3902 0.0000
0.0000 0.0000 5.8659
```

# 3
An optimized crystal structure of Fe2TcRu. Source: Alexandria via LeMat-Bulk, functional GGA-PBE. Values from VASP.

Properties
**E_form**: 39 kJ/mol of formula units
**Total magnetic moment**: 1.36 μB per atom
**Crystal system**: orthorhombic

The structure in Quantum ESPRESSO input format:
```
&SYSTEM
  ibrav = 0, nat = 4, ntyp = 3
/
ATOMIC_SPECIES
Fe 55.84 Fe.upf
Tc 98.00 Tc.upf
Ru 101.07 Ru.upf
ATOMIC_POSITIONS crystal
Fe 0.0000 0.0000 0.0000
Fe 0.7695 0.2695 0.5000
Tc 0.5188 0.5188 0.0000
Ru 0.2545 0.7545 0.5000
CELL_PARAMETERS angstrom
-1.4836 2.0964 4.2006
1.4836 -2.0964 4.2006
1.4836 2.0964 -4.2006
```

# 4
An optimized crystal structure of LiCa2As. Source: Alexandria via LeMat-Bulk, functional GGA-PBE. Values from VASP.

Properties
**E_form**: -265 kJ/mol of formula units
**Total magnetic moment**: 0.00 μB per atom
**Crystal system**: orthorhombic

The structure in Quantum ESPRESSO input format:
```
&SYSTEM
  ibrav = 0, nat = 4, ntyp = 3
/
ATOMIC_SPECIES
Li 6.94 Li.upf
Ca 40.08 Ca.upf
As 74.92 As.upf
ATOMIC_POSITIONS crystal
Li 0.0000 0.0000 0.0000
Ca 0.0000 0.6914 0.6914
Ca 0.5000 0.4075 0.4075
As 0.5000 0.1253 0.1253
CELL_PARAMETERS angstrom
4.3475 0.0000 0.0000
0.0000 2.1235 5.6375
0.0000 -2.1235 5.6375
```

# 5
An optimized crystal structure of Ac2Nd2In3. Source: Alexandria via LeMat-Bulk, functional GGA-PBE. Values from VASP.

Properties
**E_form**: -198 kJ/mol of formula units
**Total magnetic moment**: 0.00 μB per atom
**Crystal system**: triclinic

The structure in Quantum ESPRESSO input format:
```
&SYSTEM
  ibrav = 0, nat = 7, ntyp = 3
/
ATOMIC_SPECIES
Ac 227.00 Ac.upf
Nd 144.24 Nd.upf
In 114.82 In.upf
ATOMIC_POSITIONS crystal
Ac 0.2037 0.1976 0.4088
Ac 0.7963 0.8024 0.5912
Nd 0.0710 0.7371 0.1428
Nd 0.9290 0.2629 0.8572
In 0.3954 0.5622 0.7901
In 0.5000 0.0000 0.0000
In 0.6046 0.4378 0.2099
CELL_PARAMETERS angstrom
3.8515 0.0000 0.0000
-0.0046 8.1372 0.0000
-1.9242 -2.4292 7.6307
```

# 6
An optimized crystal structure of H3S. Source: Alexandria via LeMat-Bulk, functional GGA-PBE. Values from VASP.

Properties
**Total energy**: -12.87 eV/cell
**Total magnetic moment**: 0.00 μB per atom
**Crystal system**: monoclinic

The structure in Quantum ESPRESSO input format:
```
&SYSTEM
  ibrav = 0, nat = 4, ntyp = 2
/
ATOMIC_SPECIES
H 1.01 H.upf
S 32.06 S.upf
ATOMIC_POSITIONS crystal
H 0.0000 0.0000 0.0000
H 0.3101 0.8076 0.5825
H 0.8076 0.3101 0.5825
S 0.7972 0.7972 0.5583
CELL_PARAMETERS angstrom
2.4942 -2.5125 0.0000
2.4942 2.5125 0.0000
-2.2728 0.0000 3.0495
```

# 7
An optimized crystal structure of PaVW. Source: Alexandria via LeMat-Bulk, functional GGA-PBE. Values from VASP.

Properties
**E_form**: 74 kJ/mol of formula units
**Total magnetic moment**: 0.00 μB per atom
**Crystal system**: trigonal

The structure in Quantum ESPRESSO input format:
```
&SYSTEM
  ibrav = 0, nat = 3, ntyp = 3
/
ATOMIC_SPECIES
Pa 231.04 Pa.upf
V 50.94 V.upf
W 183.84 W.upf
ATOMIC_POSITIONS crystal
Pa 0.0000 0.0000 0.0000
V 0.3333 0.6667 0.6976
W 0.6667 0.3333 0.3234
CELL_PARAMETERS angstrom
4.5617 0.0000 0.0000
-2.2808 3.9505 0.0000
0.0000 0.0000 2.9601
```

# 8
An optimized crystal structure of PmNpInO6. Source: Alexandria via LeMat-Bulk, functional GGA-PBE. Values from VASP.

Properties
**Formation energy (no corrections)**: -2.61 eV per atom
**Total magnetic moment**: 0.11 μB per atom
**Crystal system**: trigonal

The structure in Quantum ESPRESSO input format:
```
&SYSTEM
  ibrav = 0, nat = 18, ntyp = 4
/
ATOMIC_SPECIES
Pm 145.00 Pm.upf
Np 237.00 Np.upf
In 114.82 In.upf
O 16.00 O.upf
ATOMIC_POSITIONS crystal
Pm 0.0000 0.0000 0.0000
Pm 0.0000 0.0000 0.5000
Np 0.3333 0.6667 0.2500
Np 0.6667 0.3333 0.7500
In 0.3333 0.6667 0.7500
In 0.6667 0.3333 0.2500
O 0.0166 0.3579 0.1367
O 0.0166 0.6587 0.3633
O 0.3413 0.3579 0.3633
O 0.3413 0.9834 0.1367
O 0.3579 0.0166 0.6367
O 0.3579 0.3413 0.8633
O 0.6421 0.6587 0.1367
O 0.6421 0.9834 0.3633
O 0.6587 0.0166 0.8633
O 0.6587 0.6421 0.6367
O 0.9834 0.3413 0.6367
O 0.9834 0.6421 0.8633
CELL_PARAMETERS angstrom
5.5606 0.0000 0.0000
-2.7803 4.8156 0.0000
0.0000 0.0000 10.1748
```

# 9
An optimized crystal structure of Sr3Sc2. Source: Alexandria via LeMat-Bulk, functional GGA-PBE. Values from VASP.

Properties
**E_form**: 218 kJ/mol of formula units
**Total magnetic moment**: 0.02 μB per atom
**Crystal system**: trigonal

The structure in Quantum ESPRESSO input format:
```
&SYSTEM
  ibrav = 0, nat = 5, ntyp = 2
/
ATOMIC_SPECIES
Sr 87.62 Sr.upf
Sc 44.96 Sc.upf
ATOMIC_POSITIONS crystal
Sr 0.0000 0.0000 0.0000
Sr 0.3333 0.6667 0.3586
Sr 0.6667 0.3333 0.6414
Sc 0.3333 0.6667 0.8982
Sc 0.6667 0.3333 0.1018
CELL_PARAMETERS angstrom
5.8508 0.0000 0.0000
-2.9254 5.0669 0.0000
0.0000 0.0000 7.3673
```

# 10
An optimized crystal structure of FeOsSe2. Source: Alexandria via LeMat-Bulk, functional GGA-PBE. Values from VASP.

Properties
**Formation energy (no corrections)**: 0.33 eV per atom
**Total magnetic moment**: 0.54 μB per atom
**Crystal system**: tetragonal

The structure in Quantum ESPRESSO input format:
```
&SYSTEM
  ibrav = 0, nat = 8, ntyp = 3
/
ATOMIC_SPECIES
Fe 55.84 Fe.upf
Os 190.23 Os.upf
Se 78.96 Se.upf
ATOMIC_POSITIONS crystal
Fe 0.0000 0.0000 0.0000
Fe 0.7500 0.2500 0.5000
Os 0.2500 0.7500 0.5000
Os 0.5000 0.5000 0.0000
Se 0.1186 0.6250 0.9936
Se 0.3750 0.3686 0.4936
Se 0.6314 0.1250 0.0064
Se 0.8750 0.8814 0.5064
CELL_PARAMETERS angstrom
-2.7137 2.7137 5.5771
2.7137 -2.7137 5.5771
2.7137 2.7137 -5.5771
```

# 11
An optimized crystal structure of Ca2YTiO. Source: Alexandria via LeMat-Bulk, functional GGA-PBE. Values from VASP.

Properties
**Formation energy (no corrections)**: 0.93 eV per atom
**Total magnetic moment**: 0.57 μB per atom
**Crystal system**: tetragonal

The structure in Quantum ESPRESSO input format:
```
&SYSTEM
  ibrav = 0, nat = 5, ntyp = 4
/
ATOMIC_SPECIES
Ca 40.08 Ca.upf
Y 88.91 Y.upf
Ti 47.87 Ti.upf
O 16.00 O.upf
ATOMIC_POSITIONS crystal
Ca 0.0000 0.5000 0.0000
Ca 0.5000 0.0000 0.0000
Y 0.0000 0.0000 0.5000
Ti 0.0000 0.0000 0.0000
O 0.5000 0.5000 0.5000
CELL_PARAMETERS angstrom
5.6044 0.0000 0.0000
0.0000 5.6044 0.0000
0.0000 0.0000 5.2101
```

# 12
An optimized crystal structure of CeDyPu2Te5. Source: Alexandria via LeMat-Bulk, functional GGA-PBE. Values from VASP.

Properties
**Formation energy (no corrections)**: -0.70 eV per atom
**Total magnetic moment**: 1.44 μB per atom
**Crystal system**: tetragonal

The structure in Quantum ESPRESSO input format:
```
&SYSTEM
  ibrav = 0, nat = 9, ntyp = 4
/
ATOMIC_SPECIES
Ce 140.12 Ce.upf
Dy 162.50 Dy.upf
Pu 244.00 Pu.upf
Te 127.60 Te.upf
ATOMIC_POSITIONS crystal
Ce 0.0000 0.0000 0.0000
Dy 0.0000 0.0000 0.5000
Pu 0.5000 0.5000 0.3248
Pu 0.5000 0.5000 0.6752
Te 0.0000 0.0000 0.2494
Te 0.0000 0.0000 0.7506
Te 0.0000 0.5000 0.5000
Te 0.5000 0.0000 0.5000
Te 0.5000 0.5000 0.0000
CELL_PARAMETERS angstrom
5.5343 0.0000 0.0000
0.0000 5.5343 0.0000
0.0000 0.0000 11.8343
```

- Look up the total magnetic moment of the fifth one.
  0.00 μB per atom

- What is the total magnetic moment in the second record?
  0.00 μB per atom